# Ca2AgH2 PBE optimized geometry
data_Ca2AgH2
_cell_length_a 3.7928
_cell_length_b 3.7928
_cell_length_c 12.6327
_cell_angle_alpha 90.00
_cell_angle_beta 90.00
_cell_angle_gamma 90.00
_space_group_name_H-M_alt 'I 4/m m m'
_space_group_IT_number 139
_space_group_name_Hall '-I 4 2'
loop_
_atom_site_label
_atom_site_fract_x
_atom_site_fract_y
_atom_site_fract_z
_atom_site_occupancy
Ca1 0.0000 0.0000 0.1492 1
Ag1 0.0000 0.0000 0.5000 1
H1 0.0000 0.5000 0.2500 1
# * density: 3.47 g/cm³
# * E: -31.555 eV/cell
# * polymorph energy (0 for the lowest one): 0.000 eV/atom

---

# CaAg2H PBE optimized geometry
data_CaAg2H
_cell_length_a 5.9766
_cell_length_b 5.9766
_cell_length_c 8.5892
_cell_angle_alpha 90.00
_cell_angle_beta 90.00
_cell_angle_gamma 90.00
_space_group_name_H-M_alt 'I -4 2 d'
_space_group_IT_number 122
_space_group_name_Hall 'I -4 2bw'
loop_
_atom_site_label
_atom_site_fract_x
_atom_site_fract_y
_atom_site_fract_z
_atom_site_occupancy
Ca1 0.0000 0.0000 0.0000 1
Ag1 0.0015 0.7500 0.6250 1
H1 0.0000 0.0000 0.5000 1
# * density: 5.56 g/cm³
# * E: -43.721 eV/cell
# * polymorph energy (0 for the lowest one): 0.000 eV/atom

---

# Ca12Ag3H5 PBE optimized geometry
data_Ca12Ag3H5
_cell_length_a 15.9857
_cell_length_b 15.9857
_cell_length_c 15.9857
_cell_angle_alpha 90.00
_cell_angle_beta 90.00
_cell_angle_gamma 90.00
_space_group_name_H-M_alt 'I a -3 d'
_space_group_IT_number 230
_space_group_name_Hall '-I 4bd 2c 3'
loop_
_atom_site_label
_atom_site_fract_x
_atom_site_fract_y
_atom_site_fract_z
_atom_site_occupancy
Ca1 0.0363 0.0549 0.6538 1
Ag1 0.0000 0.2500 0.1250 1
H1 0.0000 0.0000 0.0000 1
H2 0.0000 0.2500 0.3750 1
# * density: 2.63 g/cm³
# * E: -438.618 eV/cell

---

# Ca3AgH2 PBE optimized geometry
data_Ca3AgH2
_cell_length_a 8.9780
_cell_length_b 11.5347
_cell_length_c 5.1071
_cell_angle_alpha 90.00
_cell_angle_beta 90.00
_cell_angle_gamma 90.00
_space_group_name_H-M_alt 'C m c m'
_space_group_IT_number 63
_space_group_name_Hall '-C 2c 2'
loop_
_atom_site_label
_atom_site_fract_x
_atom_site_fract_y
_atom_site_fract_z
_atom_site_occupancy
Ca1 0.0000 0.1083 0.2500 1
Ca2 0.2062 0.3845 0.2500 1
Ag1 0.0000 0.3032 0.7500 1
H1 0.1523 0.0000 0.0000 1
# * density: 2.89 g/cm³
# * E: -71.197 eV/cell

---

# CaAgH2 PBE optimized geometry
data_CaAgH2
_cell_length_a 5.9823
_cell_length_b 5.9823
_cell_length_c 5.9823
_cell_angle_alpha 90.00
_cell_angle_beta 90.00
_cell_angle_gamma 90.00
_space_group_name_H-M_alt 'F m -3 m'
_space_group_IT_number 225
_space_group_name_Hall '-F 4 2 3'
loop_
_atom_site_label
_atom_site_fract_x
_atom_site_fract_y
_atom_site_fract_z
_atom_site_occupancy
Ca1 0.0000 0.0000 0.0000 1
Ag1 0.0000 0.0000 0.5000 1
H1 0.2500 0.2500 0.2500 1
# * density: 4.65 g/cm³
# * E: -47.001 eV/cell
# * polymorph energy (0 for the lowest one): 0.170 eV/atom

---

# Ca2AgH2 PBE optimized geometry
data_Ca2AgH2
_cell_length_a 7.1582
_cell_length_b 7.1582
_cell_length_c 3.2682
_cell_angle_alpha 90.00
_cell_angle_beta 90.00
_cell_angle_gamma 90.00
_space_group_name_H-M_alt 'P 4/m b m'
_space_group_IT_number 127
_space_group_name_Hall '-P 4 2ab'
loop_
_atom_site_label
_atom_site_fract_x
_atom_site_fract_y
_atom_site_fract_z
_atom_site_occupancy
Ca1 0.1732 0.3268 0.0000 1
Ag1 0.0000 0.0000 0.5000 1
H1 0.1234 0.6234 0.5000 1
# * density: 3.77 g/cm³
# * E: -28.950 eV/cell
# * polymorph energy (0 for the lowest one): 0.260 eV/atom

---

# Ca6Ag3H2 PBE optimized geometry
data_Ca6Ag3H2
_cell_length_a 4.7968
_cell_length_b 4.7968
_cell_length_c 24.1301
_cell_angle_alpha 90.00
_cell_angle_beta 90.00
_cell_angle_gamma 90.00
_space_group_name_H-M_alt 'I 4/m m m'
_space_group_IT_number 139
_space_group_name_Hall '-I 4 2'
loop_
_atom_site_label
_atom_site_fract_x
_atom_site_fract_y
_atom_site_fract_z
_atom_site_occupancy
Ca1 0.0000 0.0000 0.2028 1
Ca2 0.0000 0.5000 0.0823 1
Ag1 0.0000 0.0000 0.3305 1
Ag2 0.0000 0.0000 0.5000 1
H1 0.0000 0.0000 0.1025 1
# * density: 3.39 g/cm³
# * E: -60.752 eV/cell

---

# CaAg2H PBE optimized geometry
data_CaAg2H
_cell_length_a 6.8232
_cell_length_b 6.8232
_cell_length_c 6.8232
_cell_angle_alpha 90.00
_cell_angle_beta 90.00
_cell_angle_gamma 90.00
_space_group_name_H-M_alt 'F m -3 m'
_space_group_IT_number 225
_space_group_name_Hall '-F 4 2 3'
loop_
_atom_site_label
_atom_site_fract_x
_atom_site_fract_y
_atom_site_fract_z
_atom_site_occupancy
Ca1 0.0000 0.0000 0.0000 1
Ag1 0.2500 0.2500 0.2500 1
H1 0.0000 0.0000 0.5000 1
# * density: 5.37 g/cm³
# * E: -37.499 eV/cell
# * polymorph energy (0 for the lowest one): 0.389 eV/atom

---

# Ca3AgH PBE optimized geometry
data_Ca3AgH
_cell_length_a 4.0378
_cell_length_b 13.3064
_cell_length_c 9.8482
_cell_angle_alpha 90.00
_cell_angle_beta 90.00
_cell_angle_gamma 90.00
_space_group_name_H-M_alt 'C m c m'
_space_group_IT_number 63
_space_group_name_Hall '-C 2c 2'
loop_
_atom_site_label
_atom_site_fract_x
_atom_site_fract_y
_atom_site_fract_z
_atom_site_occupancy
Ca1 0.0000 0.0523 0.2500 1
Ca2 0.0000 0.3565 0.0672 1
Ag1 0.0000 0.2650 0.7500 1
H1 0.0000 0.4647 0.2500 1
# * density: 2.88 g/cm³
# * E: -54.854 eV/cell
# * polymorph energy (0 for the lowest one): 0.000 eV/atom

---

# CaAgH2 PBE optimized geometry
data_CaAgH2
_cell_length_a 4.5569
_cell_length_b 4.5569
_cell_length_c 11.2580
_cell_angle_alpha 90.00
_cell_angle_beta 90.00
_cell_angle_gamma 90.00
_space_group_name_H-M_alt 'I -4 2 d'
_space_group_IT_number 122
_space_group_name_Hall 'I -4 2bw'
loop_
_atom_site_label
_atom_site_fract_x
_atom_site_fract_y
_atom_site_fract_z
_atom_site_occupancy
Ca1 0.0000 0.0000 0.0000 1
Ag1 0.0000 0.0000 0.5000 1
H1 0.1716 0.2500 0.6250 1
# * density: 4.26 g/cm³
# * E: -47.139 eV/cell
# * polymorph energy (0 for the lowest one): 0.161 eV/atom

---

# Ca3AgH PBE optimized geometry
data_Ca3AgH
_cell_length_a 4.9589
_cell_length_b 4.9589
_cell_length_c 4.9589
_cell_angle_alpha 90.00
_cell_angle_beta 90.00
_cell_angle_gamma 90.00
_space_group_name_H-M_alt 'P m -3 m'
_space_group_IT_number 221
_space_group_name_Hall '-P 4 2 3'
loop_
_atom_site_label
_atom_site_fract_x
_atom_site_fract_y
_atom_site_fract_z
_atom_site_occupancy
Ca1 0.0000 0.0000 0.5000 1
Ag1 0.5000 0.5000 0.5000 1
H1 0.0000 0.0000 0.0000 1
# * density: 3.12 g/cm³
# * E: -13.286 eV/cell
# * polymorph energy (0 for the lowest one): 0.086 eV/atom

---

# Ca2AgH6 PBE optimized geometry
data_Ca2AgH6
_cell_length_a 7.2355
_cell_length_b 7.2355
_cell_length_c 7.2355
_cell_angle_alpha 90.00
_cell_angle_beta 90.00
_cell_angle_gamma 90.00
_space_group_name_H-M_alt 'F m -3 m'
_space_group_IT_number 225
_space_group_name_Hall '-F 4 2 3'
loop_
_atom_site_label
_atom_site_fract_x
_atom_site_fract_y
_atom_site_fract_z
_atom_site_occupancy
Ca1 0.2500 0.2500 0.2500 1
Ag1 0.0000 0.0000 0.0000 1
H1 0.0000 0.0000 0.2621 1
# * density: 3.40 g/cm³
# * E: -113.806 eV/cell

---

# Ca3AgH PBE optimized geometry
data_Ca3AgH
_cell_length_a 7.9773
_cell_length_b 3.8892
_cell_length_c 8.5606
_cell_angle_alpha 90.00
_cell_angle_beta 100.20
_cell_angle_gamma 90.00
_space_group_name_H-M_alt 'P 1 21/m 1'
_space_group_IT_number 11
loop_
_space_group_symop_operation_xyz
'x,y,z'
'-x,-y,-z'
'-x,y+1/2,-z'
'x,-y+1/2,z'
loop_
_atom_site_label
_atom_site_fract_x
_atom_site_fract_y
_atom_site_fract_z
_atom_site_occupancy
Ca1 0.0551 0.2500 0.3205 1
Ca2 0.2845 0.2500 0.9648 1
Ca3 0.3733 0.7500 0.6259 1
Ag1 0.3356 0.7500 0.2464 1
H1 0.1648 0.2500 0.6696 1
# * density: 2.91 g/cm³
# * E: -26.611 eV/cell
# * polymorph energy (0 for the lowest one): 0.082 eV/atom

---

# CaAgH2 PBE optimized geometry
data_CaAgH2
_cell_length_a 3.8632
_cell_length_b 3.8632
_cell_length_c 14.3691
_cell_angle_alpha 90.00
_cell_angle_beta 90.00
_cell_angle_gamma 120.00
_space_group_name_H-M_alt 'R -3 m'
_space_group_IT_number 166
_space_group_name_Hall '-R 3 2"'
loop_
_atom_site_label
_atom_site_fract_x
_atom_site_fract_y
_atom_site_fract_z
_atom_site_occupancy
Ca1 0.0000 0.0000 0.0000 1
Ag1 0.0000 0.0000 0.5000 1
H1 0.0000 0.0000 0.3792 1
# * density: 4.02 g/cm³
# * E: -37.289 eV/cell
# * polymorph energy (0 for the lowest one): 0.000 eV/atom

---

# Ca2AgHgH PBE optimized geometry
data_Ca2AgHgH
_cell_length_a 4.9797
_cell_length_b 4.9797
_cell_length_c 4.2667
_cell_angle_alpha 90.00
_cell_angle_beta 90.00
_cell_angle_gamma 90.00
_space_group_name_H-M_alt 'P 4/m m m'
_space_group_IT_number 123
_space_group_name_Hall '-P 4 2'
loop_
_atom_site_label
_atom_site_fract_x
_atom_site_fract_y
_atom_site_fract_z
_atom_site_occupancy
Ca1 0.0000 0.5000 0.0000 1
Ag1 0.0000 0.0000 0.5000 1
Hg1 0.5000 0.5000 0.5000 1
H1 0.5000 0.5000 0.0000 1
# * density: 6.12 g/cm³
# * E: -11.936 eV/cell
# * polymorph energy (0 for the lowest one): 0.085 eV/atom

---

# CaAgHgH2 PBE optimized geometry
data_CaAgHgH2
_cell_length_a 4.1325
_cell_length_b 4.1325
_cell_length_c 5.8690
_cell_angle_alpha 90.00
_cell_angle_beta 90.00
_cell_angle_gamma 90.00
_space_group_name_H-M_alt 'P 4/m m m'
_space_group_IT_number 123
_space_group_name_Hall '-P 4 2'
loop_
_atom_site_label
_atom_site_fract_x
_atom_site_fract_y
_atom_site_fract_z
_atom_site_occupancy
Ca1 0.0000 0.0000 0.0000 1
Ag1 0.0000 0.0000 0.5000 1
Hg1 0.5000 0.5000 0.0000 1
H1 0.0000 0.5000 0.5000 1
# * density: 5.81 g/cm³
# * E: -10.198 eV/cell

---

# CaAg2HgH PBE optimized geometry
data_CaAg2HgH
_cell_length_a 4.4709
_cell_length_b 4.4709
_cell_length_c 4.5714
_cell_angle_alpha 90.00
_cell_angle_beta 90.00
_cell_angle_gamma 90.00
_space_group_name_H-M_alt 'P 4/m m m'
_space_group_IT_number 123
_space_group_name_Hall '-P 4 2'
loop_
_atom_site_label
_atom_site_fract_x
_atom_site_fract_y
_atom_site_fract_z
_atom_site_occupancy
Ca1 0.0000 0.0000 0.0000 1
Ag1 0.0000 0.5000 0.5000 1
Hg1 0.5000 0.5000 0.0000 1
H1 0.0000 0.0000 0.5000 1
# * density: 8.31 g/cm³
# * E: -11.795 eV/cell

---

# Ca2AgHgH PBE optimized geometry
data_Ca2AgHgH
_cell_length_a 5.1842
_cell_length_b 5.1842
_cell_length_c 3.9294
_cell_angle_alpha 90.00
_cell_angle_beta 90.00
_cell_angle_gamma 90.00
_space_group_name_H-M_alt 'P 4/m m m'
_space_group_IT_number 123
_space_group_name_Hall '-P 4 2'
loop_
_atom_site_label
_atom_site_fract_x
_atom_site_fract_y
_atom_site_fract_z
_atom_site_occupancy
Ca1 0.0000 0.5000 0.0000 1
Ag1 0.0000 0.0000 0.5000 1
Hg1 0.5000 0.5000 0.5000 1
H1 0.0000 0.0000 0.0000 1
# * density: 6.13 g/cm³
# * E: -12.363 eV/cell
# * polymorph energy (0 for the lowest one): 0.000 eV/atom

---

# CaAgH2I PBE optimized geometry
data_CaAgH2I
_cell_length_a 4.1792
_cell_length_b 4.1792
_cell_length_c 6.0115
_cell_angle_alpha 90.00
_cell_angle_beta 90.00
_cell_angle_gamma 90.00
_space_group_name_H-M_alt 'P 4/m m m'
_space_group_IT_number 123
_space_group_name_Hall '-P 4 2'
loop_
_atom_site_label
_atom_site_fract_x
_atom_site_fract_y
_atom_site_fract_z
_atom_site_occupancy
Ca1 0.0000 0.0000 0.0000 1
Ag1 0.5000 0.5000 0.5000 1
H1 0.0000 0.5000 0.5000 1
I1 0.5000 0.5000 0.0000 1
# * density: 4.38 g/cm³
# * E: -13.314 eV/cell

---

# CaAgH6Ir PBE optimized geometry
data_CaAgH6Ir
_cell_length_a 4.9736
_cell_length_b 4.9736
_cell_length_c 4.4883
_cell_angle_alpha 90.00
_cell_angle_beta 90.00
_cell_angle_gamma 120.00
_space_group_name_H-M_alt 'P 3 1 2'
_space_group_IT_number 149
loop_
_space_group_symop_operation_xyz
'x,y,z'
'-y,x-y,z'
'-x+y,-x,z'
'-y,-x,-z'
'-x+y,y,-z'
'x,x-y,-z'
loop_
_atom_site_label
_atom_site_fract_x
_atom_site_fract_y
_atom_site_fract_z
_atom_site_occupancy
Ca1 0.0000 0.0000 0.0000 1
Ag1 0.3333 0.6667 0.5000 1
H1 0.4101 0.0594 0.7319 1
Ir1 0.6667 0.3333 0.5000 1
# * density: 5.98 g/cm³
# * E: -36.102 eV/cell